[1]
A geometry-optimized V5Cr2W2 structure. Source: the Alexandria database, functional GGA-PBE.

Cell: 2.681 6.464 7.306 Å, 100.77 90.05 97.94°
Space group P-1 (No. 2)
Inequivalent atoms, fractional coordinates:
V (0.000, 0.000, 0.000) x1
V (0.107, 0.326, 0.549) x2
V (0.446, 0.325, 0.228) x2
Cr (0.335, 0.996, 0.658) x2
W (0.228, 0.674, 0.118) x2

Computed properties:
energy of formation from the pure elements	-0.034	eV per atom


[2]
A geometry-optimized Bi3S12I5 structure. Source: the Alexandria database, functional GGA-PBE.

Cell: 17.636 17.636 17.636 Å, 90.00 90.00 90.00°
Space group Ia-3d (No. 230)
Inequivalent atoms, fractional coordinates:
Bi (0.000, 0.250, 0.125) x24
S (0.010, 0.088, 0.178) x96
I (0.000, 0.000, 0.000) x16
I (0.000, 0.250, 0.375) x24

Computed properties:
formation energy from raw total energies	209	meV/atom


| no. | theoretical density (g/cm3) |
| --- | --- |
| 1 | 9.80 |
| 2 | 3.99 |